This record from OQMD via LeMat-Bulk describes a relaxed structure of Dy3Co7Ni2. The functional is GGA-PBE.

The space group is R-3m (No. 166, hexagonal axes) and the conventional cell measures 4.9135, 4.9135 and 24.5587 Å, with angles of 90.00, 90.00 and 120.00 degrees. The inequivalent atoms are Dy at (0.0000, 0.0000, 0.0000), Dy at (0.0000, 0.0000, 0.1395), Co at (0.0000, 0.0000, 0.5000), Co at (0.9997, 0.4999, 0.0817) and Ni at (0.0000, 0.0000, 0.3336).

Its energy of formation from the pure elements is -0.221 eV per atom.

This record from OQMD via LeMat-Bulk describes a relaxed structure of SrZrB. The functional is GGA-PBE.

The space group is F-43m (No. 216) and the conventional cell measures 6.485, 6.485 and 6.485 Å, with angles of 90.00, 90.00 and 90.00 degrees. The inequivalent atoms are Sr at (0.000, 0.000, 0.000), Zr at (0.250, 0.250, 0.250) and B at (0.250, 0.250, 0.750).

The value obtained for the energy relative to the lowest polymorph listed for this composition is 1241 meV/atom.

This record from OQMD via LeMat-Bulk describes a relaxed structure of Rb2Er2SO3. The functional is GGA-PBE.

The space group is P3m1 (No. 156) and the conventional cell measures 3.5631, 3.5631 and 13.6386 Å, with angles of 90.00, 90.00 and 120.00 degrees. The inequivalent atoms are Rb at (0.0000, 0.0000, 0.0000), Rb at (0.3333, 0.6667, 0.4688), Er at (0.6667, 0.3333, 0.2321), Er at (0.6667, 0.3333, 0.7637), S at (0.0000, 0.0000, 0.6410), O at (0.0000, 0.0000, 0.3100), O at (0.3333, 0.6667, 0.1485) and O at (0.3333, 0.6667, 0.8403).

The total energy is -6.1866 eV per atom.